First-principles (PBE) data for crystalline Tb6Pr7Dy16 at its relaxed geometry, as listed in the Alexandria database.

The structure in POSCAR format:
```
Tb6Pr7Dy16
1.0
9.757 0.000 5.633
3.252 9.199 5.633
0.000 0.000 11.266
Pr Dy Tb
7 16 6
Cartesian
1.626 4.599 2.817
0.000 0.000 5.633
6.505 4.599 5.633
1.626 4.599 8.450
4.879 0.000 2.817
0.000 0.000 0.000
4.879 0.000 8.450
6.621 8.008 16.900
6.388 1.191 5.633
10.399 3.223 11.266
4.558 3.223 7.894
11.325 8.008 14.184
8.452 5.976 14.639
9.757 3.573 16.900
6.505 0.469 11.266
4.558 3.223 14.639
1.684 1.191 8.349
6.505 8.730 11.266
8.452 5.976 7.894
3.252 5.626 5.633
11.325 8.008 19.615
2.611 5.976 11.266
1.684 1.191 2.918
8.085 2.364 8.529
9.666 6.835 11.266
4.924 6.835 14.004
8.085 2.364 14.004
4.924 6.835 8.529
3.344 2.364 11.266
```

Properties
Its energy of formation is 0.2554 eV per atom. The space group is Fm-3m (225).